1.
# CaC, relaxed, DFT GGA-PBE
# calculated volume = 19.04 Å³/atom
# calculated density = 2.27 Mg/m³
# formation enthalpy at 0 K = 427 meV per atom
# D(E_F) = 0.769 states/eV/f.u.
# E above lowest polymorph = 0.86 eV per formula unit
# final energy = -5.1857 eV per atom
data_CaC
_chemical_formula_sum 'Ca8 C8'
_cell_length_a 10.432
_cell_length_b 10.432
_cell_length_c 2.800
_cell_angle_alpha 90.00
_cell_angle_beta 90.00
_cell_angle_gamma 90.00
_space_group_name_H-M_alt 'P 4/m'
_space_group_IT_number 83
loop_
_space_group_symop_operation_xyz
'x,y,z'
'-x,-y,-z'
'-y,x,z'
'y,-x,-z'
'-x,-y,z'
'x,y,-z'
'y,-x,z'
'-y,x,-z'
loop_
_atom_site_label
_atom_site_type_symbol
_atom_site_fract_x
_atom_site_fract_y
_atom_site_fract_z
Ca1 Ca 0.004 0.343 0.000
Ca2 Ca 0.332 0.655 0.500
C1 C 0.146 0.478 0.500
C2 C 0.202 0.514 0.000

2.
# CaC, relaxed, DFT GGA-PBE
# calculated volume = 22.03 Å³/atom
# calculated density = 1.96 Mg/m³
# formation enthalpy at 0 K = 1771 meV per atom
# D(E_F) = 1.604 states/eV/f.u.
# E above lowest polymorph = 3.54 eV per formula unit
# final energy = -3.8418 eV per atom
data_CaC
_chemical_formula_sum 'Ca3 C3'
_cell_length_a 5.094
_cell_length_b 5.094
_cell_length_c 5.094
_cell_angle_alpha 90.00
_cell_angle_beta 90.00
_cell_angle_gamma 90.00
_space_group_name_H-M_alt 'P m -3 m'
_space_group_IT_number 221
_space_group_name_Hall '-P 4 2 3'
loop_
_atom_site_label
_atom_site_type_symbol
_atom_site_fract_x
_atom_site_fract_y
_atom_site_fract_z
Ca1 Ca 0.000 0.000 0.500
C1 C 0.000 0.500 0.500

3.
# CaC3, relaxed, DFT GGA-PBE
# calculated volume = 12.27 Å³/atom
# calculated density = 2.58 Mg/m³
# formation enthalpy at 0 K = 599 meV per atom
# D(E_F) = 0.929 states/eV/f.u.
# E above lowest polymorph = 0.31 eV per formula unit
# final energy = -6.8195 eV per atom
data_CaC3
_chemical_formula_sum 'Ca2 C6'
_cell_length_a 4.294
_cell_length_b 6.613
_cell_length_c 3.455
_cell_angle_alpha 90.00
_cell_angle_beta 90.00
_cell_angle_gamma 90.00
_space_group_name_H-M_alt 'C m m m'
_space_group_IT_number 65
_space_group_name_Hall '-C 2 2'
loop_
_atom_site_label
_atom_site_type_symbol
_atom_site_fract_x
_atom_site_fract_y
_atom_site_fract_z
Ca1 Ca 0.000 0.000 0.000
C1 C 0.000 0.300 0.500
C2 C 0.000 0.500 0.500

4.
# CaC3, relaxed, DFT GGA-PBE
# calculated volume = 12.44 Å³/atom
# calculated density = 2.54 Mg/m³
# formation enthalpy at 0 K = 1341 meV per atom
# D(E_F) = 0.890 states/eV/f.u.
# E above lowest polymorph = 3.28 eV per formula unit
# final energy = -6.0777 eV per atom
data_CaC3
_chemical_formula_sum 'Ca2 C6'
_cell_length_a 3.493
_cell_length_b 5.202
_cell_length_c 5.476
_cell_angle_alpha 90.00
_cell_angle_beta 90.00
_cell_angle_gamma 90.00
_space_group_name_H-M_alt 'I m m m'
_space_group_IT_number 71
_space_group_name_Hall '-I 2 2'
loop_
_atom_site_label
_atom_site_type_symbol
_atom_site_fract_x
_atom_site_fract_y
_atom_site_fract_z
Ca1 Ca 0.000 0.000 0.000
C1 C 0.000 0.130 0.500
C2 C 0.000 0.500 0.000

5.
# Ca3C2, relaxed, DFT GGA-PBE
# calculated volume = 23.52 Å³/atom
# calculated density = 2.04 Mg/m³
# formation enthalpy at 0 K = 662 meV per atom
# D(E_F) = 3.520 states/eV/f.u.
# E above lowest polymorph = 0.10 eV per formula unit
# final energy = -4.2288 eV per atom
data_Ca3C2
_chemical_formula_sum 'Ca9 C6'
_cell_length_a 3.7810
_cell_length_b 3.7810
_cell_length_c 28.4915
_cell_angle_alpha 90.00
_cell_angle_beta 90.00
_cell_angle_gamma 120.00
_space_group_name_H-M_alt 'R -3 m'
_space_group_IT_number 166
_space_group_name_Hall '-R 3 2"'
loop_
_atom_site_label
_atom_site_type_symbol
_atom_site_fract_x
_atom_site_fract_y
_atom_site_fract_z
Ca1 Ca 0.0000 0.0000 0.0000
Ca2 Ca 0.0000 0.0000 0.2341
C1 C 0.0000 0.0000 0.3927

6.
# CaC2, relaxed, DFT GGA-PBE
# calculated volume = 10.92 Å³/atom
# calculated density = 3.25 Mg/m³
# formation enthalpy at 0 K = 1110 meV per atom
# D(E_F) = 0.932 states/eV/f.u.
# E above lowest polymorph = 3.29 eV per formula unit
# final energy = -5.7060 eV per atom
data_CaC2
_chemical_formula_sum 'Ca4 C8'
_cell_length_a 2.971
_cell_length_b 16.356
_cell_length_c 2.697
_cell_angle_alpha 90.00
_cell_angle_beta 90.00
_cell_angle_gamma 90.00
_space_group_name_H-M_alt 'C m c m'
_space_group_IT_number 63
_space_group_name_Hall '-C 2c 2'
loop_
_atom_site_label
_atom_site_type_symbol
_atom_site_fract_x
_atom_site_fract_y
_atom_site_fract_z
Ca1 Ca 0.000 0.116 0.250
C1 C 0.000 0.254 0.750
C2 C 0.000 0.480 0.250

7.
# CaC, relaxed, DFT GGA-PBE
# calculated volume = 23.29 Å³/atom
# calculated density = 1.86 Mg/m³
# formation enthalpy at 0 K = 337 meV per atom
# D(E_F) = 0.788 states/eV/f.u.
# E above lowest polymorph = 0.68 eV per formula unit
# final energy = -5.2756 eV per atom
data_CaC
_chemical_formula_sum 'Ca8 C8'
_cell_length_a 7.197
_cell_length_b 7.197
_cell_length_c 7.197
_cell_angle_alpha 90.00
_cell_angle_beta 90.00
_cell_angle_gamma 90.00
_space_group_name_H-M_alt 'I -4 3 m'
_space_group_IT_number 217
_space_group_name_Hall 'I -4 2 3'
loop_
_atom_site_label
_atom_site_type_symbol
_atom_site_fract_x
_atom_site_fract_y
_atom_site_fract_z
Ca1 Ca 0.214 0.214 0.786
C1 C 0.076 0.076 0.076

8.
# Ca4C23, relaxed, DFT GGA-PBE
# calculated volume = 7.28 Å³/atom
# calculated density = 3.69 Mg/m³
# formation enthalpy at 0 K = 807 meV per atom
# D(E_F) = 11.442 states/eV/f.u.
# final energy = -7.3467 eV per atom
data_Ca4C23
_chemical_formula_sum 'Ca8 C46'
_cell_length_a 7.327
_cell_length_b 7.327
_cell_length_c 7.327
_cell_angle_alpha 90.00
_cell_angle_beta 90.00
_cell_angle_gamma 90.00
_space_group_name_H-M_alt 'P m -3 n'
_space_group_IT_number 223
_space_group_name_Hall '-P 4n 2 3'
loop_
_atom_site_label
_atom_site_type_symbol
_atom_site_fract_x
_atom_site_fract_y
_atom_site_fract_z
Ca1 Ca 0.000 0.000 0.000
Ca2 Ca 0.000 0.250 0.500
C1 C 0.000 0.296 0.168
C2 C 0.000 0.500 0.250
C3 C 0.187 0.187 0.187

9.
# CaC, relaxed, DFT GGA-PBE
# calculated volume = 21.73 Å³/atom
# calculated density = 1.99 Mg/m³
# formation enthalpy at 0 K = 6 meV per atom
# D(E_F) = 1.450 states/eV/f.u.
# E above lowest polymorph = 0.01 eV per formula unit
# final energy = -5.6067 eV per atom
data_CaC
_chemical_formula_sum 'Ca2 C2'
_cell_length_a 3.728
_cell_length_b 3.728
_cell_length_c 6.254
_cell_angle_alpha 90.00
_cell_angle_beta 90.00
_cell_angle_gamma 90.00
_space_group_name_H-M_alt 'P 4/m m m'
_space_group_IT_number 123
_space_group_name_Hall '-P 4 2'
loop_
_atom_site_label
_atom_site_type_symbol
_atom_site_fract_x
_atom_site_fract_y
_atom_site_fract_z
Ca1 Ca 0.000 0.000 0.000
Ca2 Ca 0.500 0.500 0.500
C1 C 0.000 0.000 0.396

10.
# CaC2, relaxed, DFT GGA-PBE
# calculated volume = 14.61 Å³/atom
# calculated density = 2.43 Mg/m³
# formation enthalpy at 0 K = 205 meV per atom
# D(E_F) = 0.000 states/eV/f.u.
# E above lowest polymorph = 0.57 eV per formula unit
# final energy = -6.6114 eV per atom
data_CaC2
_chemical_formula_sum 'Ca3 C6'
_cell_length_a 4.8441
_cell_length_b 4.8441
_cell_length_c 6.4700
_cell_angle_alpha 90.00
_cell_angle_beta 90.00
_cell_angle_gamma 120.00
_space_group_name_H-M_alt 'R -3 m'
_space_group_IT_number 166
_space_group_name_Hall '-R 3 2"'
loop_
_atom_site_label
_atom_site_type_symbol
_atom_site_fract_x
_atom_site_fract_y
_atom_site_fract_z
Ca1 Ca 0.0000 0.0000 0.0000
C1 C 0.0000 0.0000 0.4021

11.
# Ca3C2, relaxed, DFT GGA-PBE
# calculated volume = 18.89 Å³/atom
# calculated density = 2.54 Mg/m³
# formation enthalpy at 0 K = 645 meV per atom
# D(E_F) = 3.001 states/eV/f.u.
# E above lowest polymorph = 0.01 eV per formula unit
# final energy = -4.2458 eV per atom
data_Ca3C2
_chemical_formula_sum 'Ca3 C2'
_cell_length_a 4.3734
_cell_length_b 4.3734
_cell_length_c 5.7037
_cell_angle_alpha 90.00
_cell_angle_beta 90.00
_cell_angle_gamma 120.00
_space_group_name_H-M_alt 'P -3 m 1'
_space_group_IT_number 164
_space_group_name_Hall '-P 3 2"'
loop_
_atom_site_label
_atom_site_type_symbol
_atom_site_fract_x
_atom_site_fract_y
_atom_site_fract_z
Ca1 Ca 0.0000 0.0000 0.0000
Ca2 Ca 0.3333 0.6667 0.3160
C1 C 0.3333 0.6667 0.7895

12.
# Ca5C, relaxed, DFT GGA-PBE
# calculated volume = 39.32 Å³/atom
# calculated density = 1.50 Mg/m³
# formation enthalpy at 0 K = 1273 meV per atom
# D(E_F) = 7.775 states/eV/f.u.
# E above lowest polymorph = 6.18 eV per formula unit
# final energy = -1.9323 eV per atom
data_Ca5C
_chemical_formula_sum 'Ca20 C4'
_cell_length_a 9.809
_cell_length_b 9.809
_cell_length_c 9.809
_cell_angle_alpha 90.00
_cell_angle_beta 90.00
_cell_angle_gamma 90.00
_space_group_name_H-M_alt 'F -4 3 m'
_space_group_IT_number 216
_space_group_name_Hall 'F -4 2 3'
loop_
_atom_site_label
_atom_site_type_symbol
_atom_site_fract_x
_atom_site_fract_y
_atom_site_fract_z
Ca1 Ca 0.000 0.000 0.000
Ca2 Ca 0.125 0.125 0.625
C1 C 0.250 0.250 0.250